No. 1
## Y3ScTl (PBE)

Data for Y3ScTl after structural relaxation.

a b c (Å): 5.716 5.716 5.716
angles (deg): 90.00 90.00 90.00
Each line ends with the local moment (μB).
Element x y z (fractional)
Y (0.000, 0.500, 0.000)  0.06
Y (0.000, 0.000, 0.500)  0.06
Y (0.500, 0.000, 0.000)  0.07
Sc (0.500, 0.500, 0.500)  0.21
Tl (0.000, 0.000, 0.000)  0.00

Calculated values
E above lowest polymorph, eV per formula unit: 3.21
ΔH_f (0 K), eV/atom: 0.49

***

No. 2
## YSc5Tl3 (PBE)

Data for YSc5Tl3 after structural relaxation.

a b c (Å): 6.419 8.853 8.852
angles (deg): 120.00 90.00 90.00
Each line ends with the local moment (μB).
Element x y z (fractional)
Y (0.000, 0.000, 0.000)  0.07
Y (0.500, 0.000, 0.000)  0.07
Sc (0.000, 0.667, 0.333)  0.30
Sc (0.500, 0.333, 0.667)  0.30
Sc (0.000, 0.333, 0.667)  0.30
Sc (0.500, 0.667, 0.333)  0.30
Sc (0.750, 0.661, 0.661)  0.16
Sc (0.750, 0.000, 0.339)  0.16
Sc (0.750, 0.339, 0.000)  0.16
Sc (0.250, 0.339, 0.339)  0.16
Sc (0.250, 0.000, 0.661)  0.16
Sc (0.250, 0.661, 0.000)  0.16
Tl (0.750, 0.334, 0.334)  -0.01
Tl (0.750, 0.000, 0.666)  -0.01
Tl (0.750, 0.666, 0.000)  -0.01
Tl (0.250, 0.666, 0.666)  -0.01
Tl (0.250, 0.000, 0.334)  -0.01
Tl (0.250, 0.334, 0.000)  -0.01

Calculated values
E above lowest polymorph, eV per formula unit: 0.00
ΔH_f (0 K), eV/atom: -0.27

***

No. 3
## Y3ScTl (PBE)

Data for Y3ScTl after structural relaxation.

a b c (Å): 5.505 5.505 5.505
angles (deg): 90.00 90.00 90.00
Element x y z (fractional)
Y (0.000, 0.500, 0.000)
Y (0.000, 0.000, 0.500)
Y (0.500, 0.000, 0.000)
Sc (0.000, 0.000, 0.000)
Tl (0.500, 0.500, 0.500)

Calculated values
E above lowest polymorph, eV per formula unit: 3.74
ΔH_f (0 K), eV/atom: 0.60

***

No. 4
## Y3ScTl5 (PBE)

Data for Y3ScTl5 after structural relaxation.

a b c (Å): 6.482 9.270 9.270
angles (deg): 120.00 90.00 90.00
Element x y z (fractional)
Y (0.750, 0.372, 0.000)
Y (0.750, 0.628, 0.628)
Y (0.750, 0.000, 0.372)
Y (0.250, 0.628, 0.000)
Y (0.250, 0.372, 0.372)
Y (0.250, 0.000, 0.628)
Sc (0.000, 0.000, 0.000)
Sc (0.500, 0.000, 0.000)
Tl (0.000, 0.333, 0.667)
Tl (0.500, 0.667, 0.333)
Tl (0.000, 0.667, 0.333)
Tl (0.500, 0.333, 0.667)
Tl (0.750, 0.713, 0.000)
Tl (0.750, 0.287, 0.287)
Tl (0.750, 0.000, 0.713)
Tl (0.250, 0.287, 0.000)
Tl (0.250, 0.713, 0.713)
Tl (0.250, 0.000, 0.287)

Calculated values
ΔH_f (0 K), eV/atom: -0.31

***

No. 5
## Y2ScTl (PBE)

Data for Y2ScTl after structural relaxation.

a b c (Å): 3.620 3.620 8.624
angles (deg): 90.00 90.00 89.99
Element x y z (fractional)
Sc (0.500, 0.500, 0.250)
Tl (0.500, 0.500, 0.750)
Y (0.000, 0.000, 0.992)
Y (0.000, 0.000, 0.508)

Calculated values
E above lowest polymorph, eV per formula unit: 0.11
ΔH_f (0 K), eV/atom: -0.16

***

No. 6
## YSc4Tl5 (PBE)

Data for YSc4Tl5 after structural relaxation.

a b c (Å): 3.616 3.616 18.503
angles (deg): 90.00 90.00 90.00
Element x y z (fractional)
Y (0.000, 0.000, 0.000)
Sc (0.000, 0.000, 0.208)
Sc (0.000, 0.000, 0.403)
Sc (0.000, 0.000, 0.597)
Sc (0.000, 0.000, 0.792)
Tl (0.500, 0.500, 0.111)
Tl (0.500, 0.500, 0.306)
Tl (0.500, 0.500, 0.500)
Tl (0.500, 0.500, 0.694)
Tl (0.500, 0.500, 0.889)

Calculated values
ΔH_f (0 K), eV/atom: -0.28

***

No. 7
## Y2ScTl2 (PBE)

Data for Y2ScTl2 after structural relaxation.

a b c (Å): 7.910 7.910 4.431
angles (deg): 90.00 90.00 90.00
Element x y z (fractional)
Y (0.171, 0.671, 0.500)
Y (0.671, 0.829, 0.500)
Y (0.829, 0.329, 0.500)
Y (0.329, 0.171, 0.500)
Sc (0.000, 0.000, 0.000)
Sc (0.500, 0.500, 0.000)
Tl (0.366, 0.866, 0.000)
Tl (0.866, 0.634, 0.000)
Tl (0.634, 0.134, 0.000)
Tl (0.134, 0.366, 0.000)

Calculated values
E above lowest polymorph, eV per formula unit: 0.00
ΔH_f (0 K), eV/atom: -0.32

***

No. 8
## YScTl (PBE)

Data for YScTl after structural relaxation.

a b c (Å): 6.878 6.878 3.530
angles (deg): 75.13 75.13 29.74
Each line ends with the local moment (μB).
Element x y z (fractional)
Y (0.670, 0.670, 0.330)  -0.17
Sc (0.989, 0.989, 0.011)  -0.25
Tl (0.341, 0.341, 0.659)  0.00

Calculated values
E above lowest polymorph, eV per formula unit: 0.20
ΔH_f (0 K), eV/atom: -0.22